Record 1
Entry from Alexandria: a relaxed structure of Y6Bi2Te3As (PBE-GGA).

Cell: 19.135 4.345 8.771 Å, 90.00 103.18 90.00°
Space group C2/m (No. 12)
Unique sites:
Y: 0.001 0.000 0.279 (multiplicity 4)
Y: 0.152 0.500 0.577 (multiplicity 4)
Y: 0.164 0.500 0.082 (multiplicity 4)
Bi: 0.167 0.000 0.834 (multiplicity 4)
Te: 0.000 0.500 0.000 (multiplicity 2)
Te: 0.171 0.000 0.337 (multiplicity 4)
As: 0.000 0.500 0.500 (multiplicity 2)

Computed properties:
For the density of states at the Fermi level, the calculation gives 0.45 states/eV per atom. The uncorrected formation energy comes out at -1.248 eV per atom. As for the total energy: -6.299 eV/atom. The calculation puts the spin magnetization at 0.00 μB/cell.


Record 2
Entry from Alexandria: a relaxed structure of LiBi2F6 (PBE-GGA).

Cell: 5.132 5.132 11.222 Å, 90.00 90.00 90.00°
Space group P4_2/mnm (No. 136)
Unique sites:
Li: 0.000 0.000 0.000 (multiplicity 2)
Bi: 0.000 0.000 0.333 (multiplicity 4)
F: 0.185 0.185 0.144 (multiplicity 8)
F: 0.187 0.187 0.500 (multiplicity 4)

Computed properties:
For the density of states at the Fermi level, the calculation gives 0.05 states/eV per atom. The uncorrected formation energy comes out at -2.283 eV per atom. As for the total energy: -4.606 eV/atom. The calculation puts the spin magnetization at 2.03 μB/cell.


Record 3
Entry from Alexandria: a relaxed structure of KAlTl2 (PBE-GGA).

Cell: 4.921 4.921 9.918 Å, 90.00 90.00 90.00°
Space group I-4m2 (No. 119)
Unique sites:
K: 0.000 0.000 0.000 (multiplicity 2)
Al: 0.000 0.500 0.250 (multiplicity 2)
Tl: 0.000 0.000 0.500 (multiplicity 2)
Tl: 0.000 0.500 0.750 (multiplicity 2)

Computed properties:
The formation energy from the elements is 19.2 kJ/mol of atoms. For the density of states at the Fermi level, the calculation gives 0.64 states/eV per atom. As for the total energy: -2.194 eV/atom. The calculation puts the spin magnetization at 0.00 μB/cell. The calculation puts the energy above the most stable polymorph in this dataset at 170 meV/atom.


Record 4
Entry from Alexandria: a relaxed structure of SrLa3Np2N6 (PBE-GGA).

Cell: 15.832 3.625 7.288 Å, 90.00 103.91 90.00°
Space group C2/m (No. 12)
Unique sites:
Sr: 0.000 0.000 0.000 (multiplicity 2)
La: 0.000 0.000 0.500 (multiplicity 2)
La: 0.168 0.500 0.835 (multiplicity 4)
Np: 0.170 0.500 0.335 (multiplicity 4)
N: 0.031 0.500 0.279 (multiplicity 4)
N: 0.174 0.000 0.117 (multiplicity 4)
N: 0.178 0.000 0.567 (multiplicity 4)

Computed properties:
For the density of states at the Fermi level, the calculation gives 1.00 states/eV per atom. The uncorrected formation energy comes out at -1.170 eV per atom. As for the total energy: -8.862 eV/atom. The calculation puts the spin magnetization at 11.12 μB/cell.